## ZnCu2Pd8 (GGA-PBE)

Data for an optimized crystal structure of ZnCu2Pd8.

Cell lengths 4.098, 6.977, 7.091 Å; angles 119.47, 106.80, 90.00 degrees
Atoms (fractional coordinates):
Zn 0.500 0.000 0.000
Cu 0.198 0.698 0.396
Cu 0.802 0.302 0.604
Pd 0.657 0.875 0.314
Pd 0.343 0.561 0.686
Pd 0.145 0.145 0.290
Pd 0.000 0.308 0.000
Pd 0.855 0.855 0.710
Pd 0.657 0.439 0.314
Pd 0.343 0.125 0.686
Pd 0.000 0.692 0.000

Properties
As for the total magnetization: 0.0 μB per cell. The density of states at the Fermi level comes out at 17.5 states/eV/f.u. The formation energy is -0.085 eV per atom. The calculation puts the density at 10.41 g cm⁻³. The polymorph energy (0 for the lowest one) comes out at 0 meV per atom. The space-group type is Immm (71).